(1)
Computed, not measured: an optimized crystal structure of RbCuSN2 at the GGA-PBE level of DFT.

Unit cell a=5.1588 b=5.1588 c=6.2658 alpha=90.00 beta=90.00 gamma=90.00
Last column: nearest neighbours and their distance in Å.
Space group P4/mmm (No. 123)
Unique sites:
Rb: 0.0000 0.0000 0.0000 (multiplicity 1)  4 N 2.58
Cu: 0.5000 0.5000 0.5000 (multiplicity 1)  4 S 3.65, 8 N 4.06
S: 0.0000 0.0000 0.5000 (multiplicity 1)  2 Rb 3.13
N: 0.0000 0.5000 0.0000 (multiplicity 2)  2 Rb 2.58

***

(2)
Computed, not measured: an optimized crystal structure of RbCuSN2 at the GGA-PBE level of DFT.

Unit cell a=4.2852 b=4.2852 c=4.7854 alpha=90.00 beta=90.00 gamma=90.00
Last column: nearest neighbours and their distance in Å.
Space group P4/mmm (No. 123)
Unique sites:
Rb: 0.0000 0.0000 0.0000 (multiplicity 1)  4 S 3.03, 8 N 3.21
Cu: 0.5000 0.5000 0.5000 (multiplicity 1)  4 N 2.14, 2 S 2.39
S: 0.5000 0.5000 0.0000 (multiplicity 1)  2 Cu 2.39
N: 0.0000 0.5000 0.5000 (multiplicity 2)  2 Cu 2.14

***

(3)
Computed, not measured: an optimized crystal structure of RbCuSbN2 at the GGA-PBE level of DFT.

Unit cell a=4.4919 b=4.4919 c=4.8853 alpha=90.00 beta=90.00 gamma=90.00
Last column: nearest neighbours and their distance in Å.
Space group P4/mmm (No. 123)
Unique sites:
Rb: 0.0000 0.0000 0.0000 (multiplicity 1)  4 Sb 3.18, 8 N 3.32
Cu: 0.5000 0.5000 0.5000 (multiplicity 1)  4 N 2.25, 2 Sb 2.44
Sb: 0.5000 0.5000 0.0000 (multiplicity 1)  2 Cu 2.44
N: 0.0000 0.5000 0.5000 (multiplicity 2)  2 Cu 2.25

***

no.,electronic total energy (eV/atom)
1,-2.619
2,-3.888
3,-3.561